(1)
A relaxed structure of TaFe3W. Source: Alexandria via LeMat-Bulk, functional GGA-PBE.

POSCAR file:
```
TaFe3W
1.0
4.381 0.000 0.000
0.000 4.381 0.000
0.000 0.000 4.381
Fe W Ta
3 1 1
Direct
0.000 0.500 0.000 Fe
0.000 0.000 0.500 Fe
0.500 0.000 0.000 Fe
0.000 0.000 0.000 W
0.500 0.500 0.500 Ta
```

Summary:
Mass density   10.51 g/cm3
Symmetry   No. 221
Relative energy among the computed polymorphs   0.000 eV per atom



(2)
A relaxed structure of TaFe2W. Source: Alexandria via LeMat-Bulk, functional GGA-PBE.

POSCAR file:
```
TaFe2W
1.0
6.726 0.000 0.000
0.000 6.726 0.000
3.363 3.363 2.649
Fe W Ta
4 2 2
Direct
0.635 0.125 0.250 Fe
0.115 0.625 0.250 Fe
0.375 0.365 0.750 Fe
0.875 0.885 0.750 Fe
0.000 0.000 0.000 W
0.750 0.250 0.500 W
0.500 0.500 0.000 Ta
0.250 0.750 0.500 Ta
```

Summary:
Mass density   13.20 g/cm3
Symmetry   No. 122



(3)
A relaxed structure of TaFeW2. Source: Alexandria via LeMat-Bulk, functional GGA-PBE.

POSCAR file:
```
TaFeW2
1.0
5.142 0.010 -0.005
2.181 4.656 0.005
-3.175 -3.096 2.602
Fe Ta W
1 1 2
Direct
0.497 0.497 0.000 Fe
0.746 0.246 0.500 Ta
0.005 0.005 0.000 W
0.252 0.752 0.500 W
```

Summary:
Mass density   16.12 g/cm3
Symmetry   No. 44
Relative energy among the computed polymorphs   0.067 eV per atom



(4)
A relaxed structure of TaFe8W3. Source: Alexandria via LeMat-Bulk, functional GGA-PBE.

POSCAR file:
```
TaFe8W3
1.0
-4.310 -1.807 -0.495
3.005 -0.067 -3.612
2.651 -6.963 2.335
Ta Fe W
1 8 3
Direct
0.000 0.000 0.568 Ta
0.333 0.667 0.501 Fe
0.333 0.667 0.000 Fe
0.504 0.008 0.752 Fe
0.504 0.496 0.752 Fe
0.992 0.496 0.752 Fe
0.163 0.326 0.250 Fe
0.163 0.837 0.250 Fe
0.674 0.837 0.250 Fe
0.667 0.333 0.425 W
0.667 0.333 0.068 W
0.000 0.000 0.935 W
```

Summary:
Mass density   13.11 g/cm3
Symmetry   No. 156



(5)
A relaxed structure of TaFe2W. Source: Alexandria via LeMat-Bulk, functional GGA-PBE.

POSCAR file:
```
TaFe2W
1.0
-3.433 -0.667 -2.168
0.881 -2.466 -0.636
-1.916 -2.949 3.942
Fe Ta W
2 1 1
Direct
0.000 0.998 0.992 Fe
0.000 0.502 0.508 Fe
0.500 0.250 0.250 Ta
0.500 0.750 0.750 W
```

Summary:
Mass density   13.84 g/cm3
Symmetry   No. 10



(6)
A relaxed structure of TaFe2W. Source: Alexandria via LeMat-Bulk, functional GGA-PBE.

POSCAR file:
```
TaFe2W
1.0
-0.995 -1.407 -4.806
1.357 -3.036 -3.874
-2.348 -3.633 -0.422
Fe Ta W
2 1 1
Direct
0.004 0.004 0.996 Fe
0.742 0.742 0.758 Fe
0.495 0.495 0.505 Ta
0.259 0.259 0.241 W
```

Summary:
Mass density   13.86 g/cm3
Symmetry   No. 8



no.,energy of formation from the pure elements (eV/atom)
1,1.528
2,0.624
3,0.078
4,-0.069
5,0.081
6,0.072